This record from the Alexandria database describes Ir2PdRu after structural relaxation. The functional is PBE-GGA.

Results
- Distance to the lowest polymorph of the same formula: 0.174 eV/atom
- E_tot: -7.87 eV/atom
- Total moment: 0.00 μB/f.u.
- Space-group type: P4/mmm (123)
- V: 14.532 Å³ per atom
- DFT formation energy: 0.181 eV/atom

```
4
Lattice="3.8767 0.0000 0.0000 0.0000 3.8767 0.0000 0.0000 0.0000 3.8676" Properties=species:S:1:pos:R:3 pbc="T T T"
Ir 0.0000 1.9384 0.0000
Ir 1.9384 0.0000 0.0000
Pd 0.0000 0.0000 1.9338
Ru 1.9384 1.9384 1.9338
```